(w)
This record from Alexandria via LeMat-Bulk describes a geometry-optimized TaAl3F structure. The functional is PBE-GGA.

Cell and atoms, written as CIF:
```
data_TaAl3F
_cell_length_a 5.1719
_cell_length_b 5.1719
_cell_length_c 5.1719
_cell_angle_alpha 90.00
_cell_angle_beta 90.00
_cell_angle_gamma 90.00
_space_group_name_H-M_alt 'P 1'
_space_group_IT_number 1
_space_group_name_Hall 'P 1'
loop_
_atom_site_label
_atom_site_fract_x
_atom_site_fract_y
_atom_site_fract_z
Ta1 0.0000 0.0000 0.0000
Al1 0.0000 0.0000 0.5000
Al2 0.0000 0.5000 0.0000
Al3 0.5000 0.0000 0.0000
F1 0.5000 0.5000 0.5000
```

(x)
This record from Alexandria via LeMat-Bulk describes a geometry-optimized TaAl3F structure. The functional is PBE-GGA.

Cell and atoms, written as CIF:
```
data_TaAl3F
_cell_length_a 4.2193
_cell_length_b 4.2193
_cell_length_c 4.2193
_cell_angle_alpha 90.00
_cell_angle_beta 90.00
_cell_angle_gamma 90.00
_space_group_name_H-M_alt 'P 1'
_space_group_IT_number 1
_space_group_name_Hall 'P 1'
loop_
_atom_site_label
_atom_site_fract_x
_atom_site_fract_y
_atom_site_fract_z
Ta1 0.0000 0.0000 0.0000
Al1 0.0000 0.5000 0.5000
Al2 0.5000 0.0000 0.5000
Al3 0.5000 0.5000 0.0000
F1 0.5000 0.5000 0.5000
```

Of them, (x) has the highest stability.

(w)
This record from Alexandria via LeMat-Bulk describes a geometry-optimized TaAlF3 structure. The functional is PBE-GGA.

Cell and atoms, written as CIF:
```
data_TaAlF3
_cell_length_a 4.3159
_cell_length_b 4.3159
_cell_length_c 4.3159
_cell_angle_alpha 90.00
_cell_angle_beta 90.00
_cell_angle_gamma 90.00
_space_group_name_H-M_alt 'P 1'
_space_group_IT_number 1
_space_group_name_Hall 'P 1'
loop_
_atom_site_label
_atom_site_fract_x
_atom_site_fract_y
_atom_site_fract_z
Ta1 0.0000 0.0000 0.0000
Al1 0.5000 0.5000 0.5000
F1 0.0000 0.0000 0.5000
F2 0.0000 0.5000 0.0000
F3 0.5000 0.0000 0.0000
```

(x)
This record from Alexandria via LeMat-Bulk describes a geometry-optimized TaAlF3 structure. The functional is PBE-GGA.

Cell and atoms, written as CIF:
```
data_TaAlF3
_cell_length_a 4.0536
_cell_length_b 4.0536
_cell_length_c 4.0536
_cell_angle_alpha 90.00
_cell_angle_beta 90.00
_cell_angle_gamma 90.00
_space_group_name_H-M_alt 'P 1'
_space_group_IT_number 1
_space_group_name_Hall 'P 1'
loop_
_atom_site_label
_atom_site_fract_x
_atom_site_fract_y
_atom_site_fract_z
Ta1 0.0000 0.0000 0.0000
Al1 0.5000 0.5000 0.5000
F1 0.0000 0.5000 0.5000
F2 0.5000 0.0000 0.5000
F3 0.5000 0.5000 0.0000
```

Of them, (w) has the highest stability.

(w)
This record from Alexandria via LeMat-Bulk describes a geometry-optimized AlTcF2 structure. The functional is PBE-GGA.

Cell and atoms, written as CIF:
```
data_AlTcF2
_cell_length_a 4.1346
_cell_length_b 4.1346
_cell_length_c 4.1346
_cell_angle_alpha 60.00
_cell_angle_beta 60.00
_cell_angle_gamma 60.00
_space_group_name_H-M_alt 'P 1'
_space_group_IT_number 1
_space_group_name_Hall 'P 1'
loop_
_atom_site_label
_atom_site_fract_x
_atom_site_fract_y
_atom_site_fract_z
Al1 0.0000 0.0000 0.0000
Tc1 0.5000 0.5000 0.5000
F1 0.2500 0.2500 0.2500
F2 0.7500 0.7500 0.7500
```

(x)
This record from Alexandria via LeMat-Bulk describes a geometry-optimized AlTcF2 structure. The functional is PBE-GGA.

Cell and atoms, written as CIF:
```
data_AlTcF2
_cell_length_a 7.9982
_cell_length_b 7.9982
_cell_length_c 7.9982
_cell_angle_alpha 19.49
_cell_angle_beta 19.49
_cell_angle_gamma 19.49
_space_group_name_H-M_alt 'P 1'
_space_group_IT_number 1
_space_group_name_Hall 'P 1'
loop_
_atom_site_label
_atom_site_fract_x
_atom_site_fract_y
_atom_site_fract_z
Al1 0.0000 0.0000 0.0000
Tc1 0.5000 0.5000 0.5000
F1 0.0784 0.0784 0.0784
F2 0.9216 0.9216 0.9216
```

Of them, (x) has the highest stability.

(w)
This record from Alexandria via LeMat-Bulk describes a geometry-optimized AlTcF2 structure. The functional is PBE-GGA.

Cell and atoms, written as CIF:
```
data_AlTcF2
_cell_length_a 8.7441
_cell_length_b 8.7441
_cell_length_c 8.7441
_cell_angle_alpha 18.22
_cell_angle_beta 18.22
_cell_angle_gamma 18.22
_space_group_name_H-M_alt 'P 1'
_space_group_IT_number 1
_space_group_name_Hall 'P 1'
loop_
_atom_site_label
_atom_site_fract_x
_atom_site_fract_y
_atom_site_fract_z
Al1 0.0000 0.0000 0.0000
Tc1 0.5000 0.5000 0.5000
F1 0.3850 0.3850 0.3850
F2 0.6150 0.6150 0.6150
```

(x)
This record from Alexandria via LeMat-Bulk describes a geometry-optimized AlTcF2 structure. The functional is PBE-GGA.

Cell and atoms, written as CIF:
```
data_AlTcF2
_cell_length_a 5.7862
_cell_length_b 5.7862
_cell_length_c 5.7862
_cell_angle_alpha 120.81
_cell_angle_beta 120.81
_cell_angle_gamma 88.59
_space_group_name_H-M_alt 'P 1'
_space_group_IT_number 1
_space_group_name_Hall 'P 1'
loop_
_atom_site_label
_atom_site_fract_x
_atom_site_fract_y
_atom_site_fract_z
Al1 0.0000 0.0000 0.0000
Al2 0.7500 0.2500 0.5000
Tc1 0.2500 0.7500 0.5000
Tc2 0.5000 0.5000 0.0000
F1 0.3750 0.1279 0.2529
F2 0.8721 0.1250 0.2471
F3 0.8750 0.1221 0.7471
F4 0.8779 0.6250 0.7529
```

Of them, (w) has the highest stability.

(w)
This record from Alexandria via LeMat-Bulk describes a geometry-optimized Al3TcF structure. The functional is PBE-GGA.

Cell and atoms, written as CIF:
```
data_Al3TcF
_cell_length_a 4.7270
_cell_length_b 4.7270
_cell_length_c 4.7270
_cell_angle_alpha 90.00
_cell_angle_beta 90.00
_cell_angle_gamma 90.00
_space_group_name_H-M_alt 'P 1'
_space_group_IT_number 1
_space_group_name_Hall 'P 1'
loop_
_atom_site_label
_atom_site_fract_x
_atom_site_fract_y
_atom_site_fract_z
Al1 0.0000 0.0000 0.5000
Al2 0.0000 0.5000 0.0000
Al3 0.5000 0.0000 0.0000
Tc1 0.0000 0.0000 0.0000
F1 0.5000 0.5000 0.5000
```

(x)
This record from Alexandria via LeMat-Bulk describes a geometry-optimized Al3TcF structure. The functional is PBE-GGA.

Cell and atoms, written as CIF:
```
data_Al3TcF
_cell_length_a 4.1329
_cell_length_b 4.1329
_cell_length_c 4.1329
_cell_angle_alpha 90.00
_cell_angle_beta 90.00
_cell_angle_gamma 90.00
_space_group_name_H-M_alt 'P 1'
_space_group_IT_number 1
_space_group_name_Hall 'P 1'
loop_
_atom_site_label
_atom_site_fract_x
_atom_site_fract_y
_atom_site_fract_z
Al1 0.0000 0.0000 0.5000
Al2 0.0000 0.5000 0.0000
Al3 0.5000 0.0000 0.0000
Tc1 0.5000 0.5000 0.5000
F1 0.0000 0.0000 0.0000
```

Of them, (x) has the highest stability.

(w)
This record from Alexandria via LeMat-Bulk describes a geometry-optimized AlTe3F structure. The functional is PBE-GGA.

Cell and atoms, written as CIF:
```
data_AlTe3F
_cell_length_a 5.2020
_cell_length_b 5.2020
_cell_length_c 5.2020
_cell_angle_alpha 90.00
_cell_angle_beta 90.00
_cell_angle_gamma 90.00
_space_group_name_H-M_alt 'P 1'
_space_group_IT_number 1
_space_group_name_Hall 'P 1'
loop_
_atom_site_label
_atom_site_fract_x
_atom_site_fract_y
_atom_site_fract_z
Al1 0.0000 0.0000 0.0000
Te1 0.0000 0.0000 0.5000
Te2 0.0000 0.5000 0.0000
Te3 0.5000 0.0000 0.0000
F1 0.5000 0.5000 0.5000
```

(x)
This record from Alexandria via LeMat-Bulk describes a geometry-optimized AlTe3F structure. The functional is PBE-GGA.

Cell and atoms, written as CIF:
```
data_AlTe3F
_cell_length_a 4.9859
_cell_length_b 4.9859
_cell_length_c 4.9859
_cell_angle_alpha 90.00
_cell_angle_beta 90.00
_cell_angle_gamma 90.00
_space_group_name_H-M_alt 'P 1'
_space_group_IT_number 1
_space_group_name_Hall 'P 1'
loop_
_atom_site_label
_atom_site_fract_x
_atom_site_fract_y
_atom_site_fract_z
Al1 0.0000 0.0000 0.0000
Te1 0.0000 0.5000 0.5000
Te2 0.5000 0.0000 0.5000
Te3 0.5000 0.5000 0.0000
F1 0.5000 0.5000 0.5000
```

Of them, (x) has the highest stability.

(w)
This record from Alexandria via LeMat-Bulk describes a geometry-optimized AlTeF3 structure. The functional is PBE-GGA.

Cell and atoms, written as CIF:
```
data_AlTeF3
_cell_length_a 4.6990
_cell_length_b 4.6990
_cell_length_c 4.6990
_cell_angle_alpha 90.00
_cell_angle_beta 90.00
_cell_angle_gamma 90.00
_space_group_name_H-M_alt 'P 1'
_space_group_IT_number 1
_space_group_name_Hall 'P 1'
loop_
_atom_site_label
_atom_site_fract_x
_atom_site_fract_y
_atom_site_fract_z
Al1 0.0000 0.0000 0.0000
Te1 0.5000 0.5000 0.5000
F1 0.0000 0.5000 0.5000
F2 0.5000 0.0000 0.5000
F3 0.5000 0.5000 0.0000
```

(x)
This record from Alexandria via LeMat-Bulk describes a geometry-optimized AlTeF3 structure. The functional is PBE-GGA.

Cell and atoms, written as CIF:
```
data_AlTeF3
_cell_length_a 4.1427
_cell_length_b 4.1427
_cell_length_c 4.1427
_cell_angle_alpha 90.00
_cell_angle_beta 90.00
_cell_angle_gamma 90.00
_space_group_name_H-M_alt 'P 1'
_space_group_IT_number 1
_space_group_name_Hall 'P 1'
loop_
_atom_site_label
_atom_site_fract_x
_atom_site_fract_y
_atom_site_fract_z
Al1 0.0000 0.0000 0.0000
Te1 0.5000 0.5000 0.5000
F1 0.0000 0.0000 0.5000
F2 0.0000 0.5000 0.0000
F3 0.5000 0.0000 0.0000
```

Of them, (x) has the highest stability.

(w)
This record from Alexandria via LeMat-Bulk describes a geometry-optimized TiAl3F structure. The functional is PBE-GGA.

Cell and atoms, written as CIF:
```
data_TiAl3F
_cell_length_a 4.2476
_cell_length_b 4.2476
_cell_length_c 4.2476
_cell_angle_alpha 90.00
_cell_angle_beta 90.00
_cell_angle_gamma 90.00
_space_group_name_H-M_alt 'P 1'
_space_group_IT_number 1
_space_group_name_Hall 'P 1'
loop_
_atom_site_label
_atom_site_fract_x
_atom_site_fract_y
_atom_site_fract_z
Ti1 0.0000 0.0000 0.0000
Al1 0.0000 0.5000 0.5000
Al2 0.5000 0.0000 0.5000
Al3 0.5000 0.5000 0.0000
F1 0.5000 0.5000 0.5000
```

(x)
This record from Alexandria via LeMat-Bulk describes a geometry-optimized TiAl3F structure. The functional is PBE-GGA.

Cell and atoms, written as CIF:
```
data_TiAl3F
_cell_length_a 5.1460
_cell_length_b 5.1460
_cell_length_c 5.1460
_cell_angle_alpha 90.00
_cell_angle_beta 90.00
_cell_angle_gamma 90.00
_space_group_name_H-M_alt 'P 1'
_space_group_IT_number 1
_space_group_name_Hall 'P 1'
loop_
_atom_site_label
_atom_site_fract_x
_atom_site_fract_y
_atom_site_fract_z
Ti1 0.0000 0.0000 0.0000
Al1 0.0000 0.0000 0.5000
Al2 0.0000 0.5000 0.0000
Al3 0.5000 0.0000 0.0000
F1 0.5000 0.5000 0.5000
```

Of them, (w) has the highest stability.

(w)
This record from Alexandria via LeMat-Bulk describes a geometry-optimized TiAlF3 structure. The functional is PBE-GGA.

Cell and atoms, written as CIF:
```
data_TiAlF3
_cell_length_a 4.0759
_cell_length_b 4.0759
_cell_length_c 4.0759
_cell_angle_alpha 90.00
_cell_angle_beta 90.00
_cell_angle_gamma 90.00
_space_group_name_H-M_alt 'P 1'
_space_group_IT_number 1
_space_group_name_Hall 'P 1'
loop_
_atom_site_label
_atom_site_fract_x
_atom_site_fract_y
_atom_site_fract_z
Ti1 0.0000 0.0000 0.0000
Al1 0.5000 0.5000 0.5000
F1 0.0000 0.5000 0.5000
F2 0.5000 0.0000 0.5000
F3 0.5000 0.5000 0.0000
```

(x)
This record from Alexandria via LeMat-Bulk describes a geometry-optimized TiAlF3 structure. The functional is PBE-GGA.

Cell and atoms, written as CIF:
```
data_TiAlF3
_cell_length_a 4.1954
_cell_length_b 4.1954
_cell_length_c 4.1954
_cell_angle_alpha 90.00
_cell_angle_beta 90.00
_cell_angle_gamma 90.00
_space_group_name_H-M_alt 'P 1'
_space_group_IT_number 1
_space_group_name_Hall 'P 1'
loop_
_atom_site_label
_atom_site_fract_x
_atom_site_fract_y
_atom_site_fract_z
Ti1 0.0000 0.0000 0.0000
Al1 0.5000 0.5000 0.5000
F1 0.0000 0.0000 0.5000
F2 0.0000 0.5000 0.0000
F3 0.5000 0.0000 0.0000
```

Of them, (x) has the highest stability.

(w)
This record from Alexandria via LeMat-Bulk describes a geometry-optimized AlTlF2 structure. The functional is PBE-GGA.

Cell and atoms, written as CIF:
```
data_AlTlF2
_cell_length_a 4.6525
_cell_length_b 4.6525
_cell_length_c 4.6525
_cell_angle_alpha 60.00
_cell_angle_beta 60.00
_cell_angle_gamma 60.00
_space_group_name_H-M_alt 'P 1'
_space_group_IT_number 1
_space_group_name_Hall 'P 1'
loop_
_atom_site_label
_atom_site_fract_x
_atom_site_fract_y
_atom_site_fract_z
Al1 0.0000 0.0000 0.0000
Tl1 0.5000 0.5000 0.5000
F1 0.2500 0.2500 0.2500
F2 0.7500 0.7500 0.7500
```

(x)
This record from Alexandria via LeMat-Bulk describes a geometry-optimized AlTlF2 structure. The functional is PBE-GGA.

Cell and atoms, written as CIF:
```
data_AlTlF2
_cell_length_a 8.0870
_cell_length_b 8.0870
_cell_length_c 8.0870
_cell_angle_alpha 23.02
_cell_angle_beta 23.02
_cell_angle_gamma 23.02
_space_group_name_H-M_alt 'P 1'
_space_group_IT_number 1
_space_group_name_Hall 'P 1'
loop_
_atom_site_label
_atom_site_fract_x
_atom_site_fract_y
_atom_site_fract_z
Al1 0.0000 0.0000 0.0000
Tl1 0.5000 0.5000 0.5000
F1 0.0758 0.0758 0.0758
F2 0.9242 0.9242 0.9242
```

(y)
This record from Alexandria via LeMat-Bulk describes a geometry-optimized AlTlF2 structure. The functional is PBE-GGA.

Cell and atoms, written as CIF:
```
data_AlTlF2
_cell_length_a 6.2511
_cell_length_b 6.2511
_cell_length_c 6.2511
_cell_angle_alpha 125.63
_cell_angle_beta 125.63
_cell_angle_gamma 80.50
_space_group_name_H-M_alt 'P 1'
_space_group_IT_number 1
_space_group_name_Hall 'P 1'
loop_
_atom_site_label
_atom_site_fract_x
_atom_site_fract_y
_atom_site_fract_z
Al1 0.3750 0.6250 0.7500
Al2 0.6250 0.3750 0.2500
Tl1 0.1250 0.8750 0.2500
Tl2 0.8750 0.1250 0.7500
F1 0.0000 0.5000 0.5000
F2 0.5000 0.0000 0.0000
F3 0.5000 0.5000 0.0000
F4 0.5000 0.5000 0.5000
```

Of them, (x) has the highest stability.